Density functional theory data (PBE) for an optimized crystal structure of Er7Te2Ir2.

a b c (Å): 7.1252 6.7782 6.7783
angles (deg): 79.69 89.99 89.99
Atoms (fractional coordinates):
Er1 0.7701 0.5001 0.5001
Ir1 0.0001 0.2772 0.2772
Er2 0.7611 0.5000 0.0001
Er3 0.2389 0.5000 0.9999
Te1 0.5000 0.2140 0.7860
Te2 0.5000 0.7860 0.2140
Er4 0.7611 0.0001 0.5000
Er5 0.0000 0.0000 0.0000
Er6 0.2299 0.4999 0.4999
Er7 0.2389 0.9999 0.5000
Ir2 0.9999 0.7228 0.7228

As for the space group: No. 65. As for the total moment: 0.00 μB/cell. Its density is 9.33 g/cm3. The calculation puts the uncorrected formation energy at -0.73 eV/atom. Its energy above the lowest structure with this stoichiometry is 198 meV/atom.